{
  "formula": "RbTiCr2O8",
  "functional": "PBE with a Hubbard U",
  "state": "optimized geometry",
  "lattice_angstrom": [[-4.6928, 1.4176, -2.2030], [-1.3916, -2.3389, -4.6345], [-4.0518, -5.9906, 3.7544]],
  "species": ["O", "Cr", "O", "Rb", "O", "Cr", "O", "O", "Ti", "O", "O", "O"],
  "frac_coords": [[0.6779, 0.6779, 0.3989], [0.3588, 0.3588, 0.7943], [0.2022, 0.2022, 0.9155], [0.0000, 0.0000, 0.5000], [0.2023, 0.7087, 0.8363], [0.6412, 0.6412, 0.2057], [0.7977, 0.2913, 0.1637], [0.7978, 0.7978, 0.0845], [0.0000, 0.0000, 0.0000], [0.3221, 0.3221, 0.6011], [0.7087, 0.2023, 0.8363], [0.2913, 0.7977, 0.1637]],
  "final_energy_ev_per_cell": -84.9,
  "dos_ef_per_ev_fu": 2.461
}